(1)
Material: Be2CoTe
Method: DFT, PBE
State: optimized geometry

Structure (POSCAR):
```
Be2CoTe
1.0
-0.779 3.364 1.713
-1.699 -1.519 2.209
3.914 -0.338 2.445
Be Te Co
2 1 1
Cartesian
-1.329 -1.530 2.399
0.737 -0.918 2.137
1.271 0.289 4.347
0.164 1.218 2.020
```

Calculated values
- Total energy: -16.02 eV per cell
- Formation energy from raw total energies: 0.419 eV/atom

***

(2)
Material: BeCo2Te
Method: DFT, PBE
State: optimized geometry

Structure (POSCAR):
```
BeCo2Te
1.0
-1.691 -2.563 0.939
1.092 0.377 2.996
-3.989 3.024 1.074
Be Te Co
1 1 2
Cartesian
-3.593 1.403 2.854
-1.863 1.413 0.502
-3.796 2.878 1.022
-1.320 -0.320 2.242
```

Calculated values
- Total energy: -20.17 eV per cell
- Formation energy from raw total energies: 0.228 eV/atom